Record 1
DFT (PBE-GGA) results for a relaxed MgCu2Mo crystal.

Properties
energy of formation from the pure elements = 96.3 kJ/mol of formula units
D(E_F) = 3.152 states/eV/cell
E above lowest polymorph = 134.2 meV/atom
symmetry = Imm2

a b c (Å): 5.4336 5.4336 5.4336
angles (deg): 151.64 129.48 58.95
Element x y z (fractional)
Cu 0.0138 0.0138 0.0000
Cu 0.2349 0.7349 0.5000
Mg 0.4859 0.4859 0.0000
Mo 0.7655 0.2655 0.5000

Record 2
DFT (PBE-GGA) results for a relaxed Mg6CuMo crystal.

Properties
energy of formation from the pure elements = 172.6 kJ/mol of formula units
D(E_F) = 4.016 states/eV/cell
E above lowest polymorph = 51.1 meV/atom
symmetry = Amm2

a b c (Å): 6.0874 6.0874 4.7431
angles (deg): 90.00 90.00 120.32
Element x y z (fractional)
Mg 0.3454 0.1686 0.5000
Mg 0.8314 0.6546 0.5000
Mg 0.3202 0.6798 0.5000
Mg 0.1690 0.3272 0.0000
Mg 0.6728 0.8310 0.0000
Mg 0.8242 0.1758 0.5000
Mo 0.6715 0.3285 0.0000
Cu 0.1656 0.8344 0.0000

Record 3
DFT (PBE-GGA) results for a relaxed MgCu2Mo crystal.

Properties
energy of formation from the pure elements = 159.9 kJ/mol of formula units
D(E_F) = 2.463 states/eV/cell
E above lowest polymorph = 299.0 meV/atom
symmetry = Pmmm

a b c (Å): 2.7242 4.7188 4.5957
angles (deg): 90.00 90.00 90.00
Element x y z (fractional)
Mg 0.5000 0.0000 0.5000
Mo 0.0000 0.5000 0.5000
Cu 0.5000 0.5000 0.0000
Cu 0.0000 0.0000 0.0000

Record 4
DFT (PBE-GGA) results for a relaxed MgCu2Mo crystal.

Properties
energy of formation from the pure elements = 165.6 kJ/mol of formula units
D(E_F) = 3.222 states/eV/cell
E above lowest polymorph = 314.0 meV/atom
symmetry = Immm

a b c (Å): 5.4081 5.4081 5.4081
angles (deg): 151.32 127.50 60.92
Element x y z (fractional)
Cu 0.5021 0.5021 0.0000
Cu 0.9979 0.9979 0.0000
Mo 0.7500 0.2500 0.5000
Mg 0.2500 0.7500 0.5000

Record 5
DFT (PBE-GGA) results for a relaxed MgCu2Mo crystal.

Properties
energy of formation from the pure elements = 175.9 kJ/mol of formula units
D(E_F) = 4.082 states/eV/cell
E above lowest polymorph = 340.4 meV/atom
symmetry = F-43m

a b c (Å): 4.3507 4.3507 4.3507
angles (deg): 60.00 60.00 60.00
Site moments in Bohr magnetons follow the coordinates.
Element x y z (fractional)
Cu 0.0000 0.0000 0.0000  0.15
Cu 0.2500 0.2500 0.2500  0.02
Mo 0.7500 0.7500 0.7500  1.57
Mg 0.5000 0.5000 0.5000  0.02

Record 6
DFT (PBE-GGA) results for a relaxed MgCuMo2 crystal.

Properties
energy of formation from the pure elements = 62.5 kJ/mol of formula units
D(E_F) = 2.091 states/eV/cell
E above lowest polymorph = 0.0 meV/atom
symmetry = Cmm2

a b c (Å): 2.7051 2.7051 8.8880
angles (deg): 90.00 90.00 106.27
Element x y z (fractional)
Mo 0.5000 0.5000 0.2592
Mo 0.0000 0.0000 0.0085
Cu 0.0000 0.0000 0.4949
Mg 0.5000 0.5000 0.7374